[1]
Entry from Alexandria: an optimized crystal structure of GaCuIr3 (PBE-GGA).

abc: 4.4746 4.4746 4.4746
angles: 90.00 90.00 90.00
Last column: nearest neighbours and their distance in Å.
Element x y z (fractional)
1 Ga 0.0000 0.0000 0.0000  12 Ir 3.16
2 Cu 0.5000 0.5000 0.5000  6 Ir 2.24
3 Ir 0.0000 0.5000 0.5000  2 Cu 2.24
4 Ir 0.5000 0.0000 0.5000  2 Cu 2.24
5 Ir 0.5000 0.5000 0.0000  2 Cu 2.24

Values from the calculation:
formation energy from the elements = 1.44 eV/atom
electronic total energy = -5.3059 eV/atom
ρ = 13.2 g/cm3
magnetic moment = 0.0 Bohr magnetons per cell
energy above the lowest structure with this stoichiometry = 0 meV/atom

***

[2]
Entry from Alexandria: an optimized crystal structure of Ga3CuIr (PBE-GGA).

abc: 4.3049 6.5678 6.7100
angles: 100.70 108.69 109.10
Last column: nearest neighbours and their distance in Å.
Element x y z (fractional)
1 Ga 0.0027 0.2631 0.2419  3 Cu 2.54-2.61, 3 Ir 2.54-2.61
2 Ga 0.3261 0.7597 0.3933  2 Cu 2.53-2.77, 3 Ir 2.65-2.68
3 Ga 0.3382 0.2660 0.9084  2 Ir 2.51-2.63, 3 Cu 2.54-2.71, 1 Ga 2.76
4 Ga 0.6618 0.7340 0.0916  2 Ir 2.51-2.63, 3 Cu 2.54-2.71, 1 Ga 2.76
5 Ga 0.6739 0.2403 0.6067  2 Cu 2.53-2.77, 3 Ir 2.65-2.68
6 Ga 0.9973 0.7369 0.7581  3 Cu 2.54-2.61, 3 Ir 2.54-2.61
7 Cu 0.3322 0.0134 0.1522  8 Ga 2.53-2.77, 1 Ir 2.81
8 Cu 0.6678 0.9866 0.8478  8 Ga 2.53-2.77, 1 Ir 2.81
9 Ir 0.3356 0.5097 0.6621  8 Ga 2.51-2.68
10 Ir 0.6644 0.4903 0.3379  8 Ga 2.51-2.68

Values from the calculation:
formation energy from the elements = -0.27 eV/atom
electronic total energy = -4.6789 eV/atom
ρ = 9.6 g/cm3
magnetic moment = 0.0 Bohr magnetons per cell
energy above the lowest structure with this stoichiometry = 0 meV/atom

***

[3]
Entry from Alexandria: an optimized crystal structure of Ga4CuIr5 (PBE-GGA).

abc: 3.0467 3.0467 15.1751
angles: 90.00 90.00 90.00
Last column: nearest neighbours and their distance in Å.
Element x y z (fractional)
1 Ga 0.0000 0.0000 0.1023  8 Ir 2.62-2.66
2 Ga 0.0000 0.0000 0.3079  8 Ir 2.57-2.70
3 Ga 0.0000 0.0000 0.6921  8 Ir 2.57-2.70
4 Ga 0.0000 0.0000 0.8977  8 Ir 2.62-2.66
5 Cu 0.0000 0.0000 0.5000  8 Ir 2.63, 2 Ga 2.92
6 Ir 0.5000 0.5000 0.0000  8 Ga 2.66
7 Ir 0.5000 0.5000 0.2004  8 Ga 2.62-2.70
8 Ir 0.5000 0.5000 0.4002  4 Ga 2.57, 4 Cu 2.63
9 Ir 0.5000 0.5000 0.5998  4 Ga 2.57, 4 Cu 2.63
10 Ir 0.5000 0.5000 0.7996  8 Ga 2.62-2.70

Values from the calculation:
formation energy from the elements = -0.30 eV/atom
electronic total energy = -6.3526 eV/atom
ρ = 15.4 g/cm3
magnetic moment = 0.0 Bohr magnetons per cell

***

[4]
Entry from Alexandria: an optimized crystal structure of GaCuIr (PBE-GGA).

abc: 4.1429 4.1429 4.1429
angles: 111.50 109.23 107.71
Last column: nearest neighbours and their distance in Å.
Element x y z (fractional)
1 Ga 0.0000 0.0000 0.0000  2 Cu 2.33, 2 Ir 2.40
2 Cu 0.0000 0.5000 0.5000  2 Ga 2.33, 2 Ir 2.44
3 Ir 0.5000 0.0000 0.5000  2 Ga 2.40, 2 Cu 2.44

Values from the calculation:
formation energy from the elements = 0.73 eV/atom
electronic total energy = -4.6005 eV/atom
ρ = 9.9 g/cm3
magnetic moment = 0.0 Bohr magnetons per cell
energy above the lowest structure with this stoichiometry = 901 meV/atom

***

[5]
Entry from Alexandria: an optimized crystal structure of Ga3CuIr (PBE-GGA).

abc: 4.7898 4.7898 4.7898
angles: 90.00 90.00 90.00
Last column: nearest neighbours and their distance in Å.
Element x y z (fractional)
1 Ga 0.0000 0.0000 0.5000  2 Ir 2.39
2 Ga 0.0000 0.5000 0.0000  2 Ir 2.39
3 Ga 0.5000 0.0000 0.0000  2 Ir 2.39
4 Cu 0.5000 0.5000 0.5000  12 Ga 3.39
5 Ir 0.0000 0.0000 0.0000  6 Ga 2.39

Values from the calculation:
formation energy from the elements = 0.11 eV/atom
electronic total energy = -4.2940 eV/atom
ρ = 7.0 g/cm3
magnetic moment = 0.0 Bohr magnetons per cell
energy above the lowest structure with this stoichiometry = 385 meV/atom

***

[6]
Entry from Alexandria: an optimized crystal structure of Ga6CuIr (PBE-GGA).

abc: 5.4188 5.4188 5.4188
angles: 100.64 100.64 100.64
Last column: nearest neighbours and their distance in Å.
Element x y z (fractional)
1 Ga 0.1962 0.1962 0.6430  1 Ir 2.44, 1 Cu 2.67, 3 Ga 2.67-2.71
2 Ga 0.1962 0.6430 0.1962  1 Ir 2.44, 1 Cu 2.67, 3 Ga 2.67-2.71
3 Ga 0.3570 0.8038 0.8038  1 Ir 2.44, 1 Cu 2.67, 3 Ga 2.67-2.71
4 Ga 0.6430 0.1962 0.1962  1 Ir 2.44, 1 Cu 2.67, 3 Ga 2.67-2.71
5 Ga 0.8038 0.3570 0.8038  1 Ir 2.44, 1 Cu 2.67, 3 Ga 2.67-2.71
6 Ga 0.8038 0.8038 0.3570  1 Ir 2.44, 1 Cu 2.67, 3 Ga 2.67-2.71
7 Cu 0.0000 0.0000 0.0000  6 Ga 2.67
8 Ir 0.5000 0.5000 0.5000  6 Ga 2.44

Values from the calculation:
formation energy from the elements = -0.06 eV/atom
electronic total energy = -3.9470 eV/atom
ρ = 7.5 g/cm3
magnetic moment = 0.0 Bohr magnetons per cell

***

[7]
Entry from Alexandria: an optimized crystal structure of GaCuIr3 (PBE-GGA).

abc: 4.5270 4.5270 4.5270
angles: 90.00 90.00 90.00
Last column: nearest neighbours and their distance in Å.
Element x y z (fractional)
1 Ga 0.0000 0.0000 0.0000  6 Ir 2.26
2 Cu 0.5000 0.5000 0.5000  12 Ir 3.20
3 Ir 0.0000 0.0000 0.5000  2 Ga 2.26
4 Ir 0.0000 0.5000 0.0000  2 Ga 2.26
5 Ir 0.5000 0.0000 0.0000  2 Ga 2.26

Values from the calculation:
formation energy from the elements = 1.46 eV/atom
electronic total energy = -5.2767 eV/atom
ρ = 12.7 g/cm3
magnetic moment = 0.0 Bohr magnetons per cell
energy above the lowest structure with this stoichiometry = 29 meV/atom

***

[8]
Entry from Alexandria: an optimized crystal structure of Ga6CuIr5 (PBE-GGA).

abc: 4.4495 5.8320 6.7480
angles: 90.00 100.51 90.00
Last column: nearest neighbours and their distance in Å.
Element x y z (fractional)
1 Ga 0.0000 0.2505 0.0000  6 Ir 2.62-2.66, 2 Cu 2.66, 4 Ga 2.91-2.92
2 Ga 0.0000 0.7495 0.0000  6 Ir 2.62-2.66, 2 Cu 2.66, 4 Ga 2.91-2.92
3 Ga 0.3251 0.2463 0.6608  7 Ir 2.60-2.73, 1 Cu 2.72, 2 Ga 2.87-2.89
4 Ga 0.3251 0.7537 0.6608  7 Ir 2.60-2.73, 1 Cu 2.72, 2 Ga 2.87-2.89
5 Ga 0.6749 0.2463 0.3392  7 Ir 2.60-2.73, 1 Cu 2.72, 2 Ga 2.87-2.89
6 Ga 0.6749 0.7537 0.3392  7 Ir 2.60-2.73, 1 Cu 2.72, 2 Ga 2.87-2.89
7 Cu 0.5000 0.5000 0.0000  8 Ga 2.66-2.72, 4 Ir 2.79-2.92
8 Ir 0.1571 0.0000 0.3249  8 Ga 2.60-2.70, 1 Ir 2.89
9 Ir 0.1862 0.5000 0.3228  8 Ga 2.62-2.73, 1 Cu 2.79, 2 Ir 2.92
10 Ir 0.5000 0.0000 0.0000  8 Ga 2.66-2.69, 2 Ir 2.89, 2 Cu 2.92
11 Ir 0.8138 0.5000 0.6772  8 Ga 2.62-2.73, 1 Cu 2.79, 2 Ir 2.92
12 Ir 0.8429 0.0000 0.6751  8 Ga 2.60-2.70, 1 Ir 2.89

Values from the calculation:
formation energy from the elements = -0.33 eV/atom
electronic total energy = -5.8758 eV/atom
ρ = 13.9 g/cm3
magnetic moment = 0.0 Bohr magnetons per cell

***

Q: electronic total energy of number 5 (Ga3CuIr)?
A: -4.2940 eV/atom

***

Q: Which value of magnetic moment does entry 6 give?
A: 0.0 Bohr magnetons per cell

***

Q: Which value of electronic total energy does entry 3 give?
A: -6.3526 eV/atom

***

Copy entry 4 word for word.
Entry from Alexandria: an optimized crystal structure of GaCuIr (PBE-GGA).

abc: 4.1429 4.1429 4.1429
angles: 111.50 109.23 107.71
Last column: nearest neighbours and their distance in Å.
Element x y z (fractional)
1 Ga 0.0000 0.0000 0.0000  2 Cu 2.33, 2 Ir 2.40
2 Cu 0.0000 0.5000 0.5000  2 Ga 2.33, 2 Ir 2.44
3 Ir 0.5000 0.0000 0.5000  2 Ga 2.40, 2 Cu 2.44

Values from the calculation:
formation energy from the elements = 0.73 eV/atom
electronic total energy = -4.6005 eV/atom
ρ = 9.9 g/cm3
magnetic moment = 0.0 Bohr magnetons per cell
energy above the lowest structure with this stoichiometry = 901 meV/atom